Arrangement i

Compound: SrIBr
Source: Alexandria
Functional: GGA-PBE
Structure: relaxed

It has space group F-43m (No. 216), with a = 7.7809 Å, b = 7.7809 Å, c = 7.7809 Å, α = 90.00°, β = 90.00° and γ = 90.00°. Symmetry generates all atoms from Sr at (0.0000, 0.0000, 0.0000), I at (0.2500, 0.2500, 0.7500) and Br at (0.2500, 0.2500, 0.2500).

Arrangement ii

Compound: SrIBr
Source: Alexandria
Functional: GGA-PBE
Structure: relaxed

It has space group P-1 (No. 2), with a = 4.7245 Å, b = 8.1784 Å, c = 8.7240 Å, α = 62.11°, β = 74.66° and γ = 89.98°. Symmetry generates all atoms from Sr at (0.2487, 0.2423, 0.0009), I at (0.1296, 0.4574, 0.2487) and Br at (0.3514, 0.0175, 0.7938).

Stability verdict: arrangement ii, ahead by 0.052 eV/atom

Arrangement i

Compound: TaI4Br
Source: Alexandria
Functional: GGA-PBE
Structure: relaxed

It has space group P2_1/c (No. 14), with a = 9.7544 Å, b = 6.5068 Å, c = 7.9706 Å, α = 90.00°, β = 105.06° and γ = 90.00°. Symmetry generates all atoms from Ta at (0.0000, 0.0000, 0.0000), I at (0.1313, 0.2457, 0.7892), I at (0.2373, 0.7215, 0.5754) and Br at (0.5000, 0.0000, 0.0000).

Arrangement ii

Compound: TaI4Br
Source: Alexandria
Functional: GGA-PBE
Structure: relaxed

It has space group C2/m (No. 12), with a = 15.3596 Å, b = 8.9577 Å, c = 7.4970 Å, α = 90.00°, β = 99.51° and γ = 90.00°. Symmetry generates all atoms from Ta at (0.0226, 0.0000, 0.2029), I at (0.0000, 0.2004, 0.5000), I at (0.1065, 0.1977, 0.9714), I at (0.2044, 0.0000, 0.3516) and Br at (0.2120, 0.5000, 0.2862).

Stability verdict: arrangement i, ahead by 0.014 eV/atom

Arrangement i

Compound: Ta2IBr
Source: Alexandria
Functional: GGA-PBE
Structure: relaxed

It has space group Fm-3m (No. 225), with a = 6.7452 Å, b = 6.7452 Å, c = 6.7452 Å, α = 90.00°, β = 90.00° and γ = 90.00°. Symmetry generates all atoms from Ta at (0.2500, 0.2500, 0.2500), I at (0.0000, 0.0000, 0.0000) and Br at (0.0000, 0.0000, 0.5000).

Arrangement ii

Compound: Ta2IBr
Source: Alexandria
Functional: GGA-PBE
Structure: relaxed

It has space group I-42d (No. 122), with a = 4.5378 Å, b = 4.5378 Å, c = 17.6643 Å, α = 90.00°, β = 90.00° and γ = 90.00°. Symmetry generates all atoms from Ta at (0.2168, 0.2500, 0.1250), I at (0.0000, 0.0000, 0.5000) and Br at (0.0000, 0.0000, 0.0000).

Stability verdict: arrangement ii, ahead by 0.253 eV/atom

Arrangement i

Compound: TaTeI2Br
Source: Alexandria
Functional: GGA-PBE
Structure: relaxed

It has space group P4/mmm (No. 123), with a = 5.5197 Å, b = 5.5197 Å, c = 5.4030 Å, α = 90.00°, β = 90.00° and γ = 90.00°. Symmetry generates all atoms from Ta at (0.0000, 0.0000, 0.0000), Te at (0.0000, 0.0000, 0.5000), I at (0.0000, 0.5000, 0.0000) and Br at (0.5000, 0.5000, 0.5000).

Arrangement ii

Compound: TaTeI2Br
Source: Alexandria
Functional: GGA-PBE
Structure: relaxed

It has space group P4/mmm (No. 123), with a = 5.6041 Å, b = 5.6041 Å, c = 5.9053 Å, α = 90.00°, β = 90.00° and γ = 90.00°. Symmetry generates all atoms from Ta at (0.0000, 0.0000, 0.0000), Te at (0.5000, 0.5000, 0.0000), I at (0.0000, 0.5000, 0.5000) and Br at (0.5000, 0.5000, 0.5000).

Stability verdict: arrangement i, ahead by 1.419 eV/atom

Arrangement i

Compound: TbIBr
Source: Alexandria
Functional: GGA-PBE
Structure: relaxed

It has space group P-1 (No. 2), with a = 4.0284 Å, b = 6.9404 Å, c = 8.7025 Å, α = 109.35°, β = 102.81° and γ = 90.01°. Symmetry generates all atoms from Tb at (0.2492, 0.2593, 0.4984), I at (0.3750, 0.6929, 0.7609) and Br at (0.1477, 0.8291, 0.2864).

Arrangement ii

Compound: TbIBr
Source: Alexandria
Functional: GGA-PBE
Structure: relaxed

It has space group P3m1 (No. 156), with a = 4.0237 Å, b = 4.0237 Å, c = 7.8210 Å, α = 90.00°, β = 90.00° and γ = 120.00°. Symmetry generates all atoms from Tb at (0.0000, 0.0000, 0.0000), I at (0.3333, 0.6667, 0.7427) and Br at (0.6667, 0.3333, 0.2273).

Stability verdict: arrangement i, ahead by 0.010 eV/atom

Arrangement i

Compound: Tb2IBr
Source: Alexandria
Functional: GGA-PBE
Structure: relaxed

It has space group R3m (No. 160, hexagonal axes), with a = 3.7144 Å, b = 3.7144 Å, c = 28.1651 Å, α = 90.00°, β = 90.00° and γ = 120.00°. Symmetry generates all atoms from Tb at (0.0000, 0.0000, 0.0000), Tb at (0.0000, 0.0000, 0.1682), I at (0.0000, 0.0000, 0.4180) and Br at (0.0000, 0.0000, 0.5829).

Arrangement ii

Compound: Tb2IBr
Source: Alexandria
Functional: GGA-PBE
Structure: relaxed

It has space group R-3m (No. 166, hexagonal axes), with a = 4.7848 Å, b = 4.7848 Å, c = 24.2206 Å, α = 90.00°, β = 90.00° and γ = 120.00°. Symmetry generates all atoms from Tb at (0.0000, 0.0000, 0.1160), I at (0.0000, 0.0000, 0.5000) and Br at (0.0000, 0.0000, 0.0000).

Stability verdict: arrangement i, ahead by 0.386 eV/atom